(1)
## RhAu2Br (PBE-GGA)

Data for an optimized crystal structure of RhAu2Br.

- Size of the total moment: 0.991 μB/f.u.
- Fermi-level density of states: 27.356 states/eV per cell
- Polymorph energy (0 for the lowest one): 0.435 eV per atom
- Crystal system: cubic

abc: 6.7045 6.7045 6.7045
angles: 90.00 90.00 90.00
Closest atoms and distances in Å follow each position.
Space group Fm-3m (No. 225)
Symmetry-distinct sites (fractional):
Rh (0.0000, 0.0000, 0.0000)  8 Au 2.90
Au (0.2500, 0.2500, 0.2500)  4 Br 2.90, 4 Rh 2.90
Br (0.0000, 0.0000, 0.5000)  8 Au 2.90

(2)
## RhAuBr (PBE-GGA)

Data for an optimized crystal structure of RhAuBr.

- Size of the total moment: 0.000 μB/f.u.
- Fermi-level density of states: 10.619 states/eV per cell
- Polymorph energy (0 for the lowest one): 0.151 eV per atom
- Crystal system: orthorhombic

abc: 3.2733 5.4141 13.5140
angles: 90.00 90.00 90.00
Closest atoms and distances in Å follow each position.
Space group Fmm2 (No. 42)
Symmetry-distinct sites (fractional):
Rh (0.0000, 0.0000, 0.0000)  2 Br 2.47, 2 Au 2.67
Au (0.0000, 0.0000, 0.6564)  2 Rh 2.67
Br (0.0000, 0.0000, 0.3631)  2 Rh 2.47

(3)
## RhAu2Br (PBE-GGA)

Data for an optimized crystal structure of RhAu2Br.

- Size of the total moment: 0.000 μB/f.u.
- Fermi-level density of states: 7.325 states/eV per cell
- Polymorph energy (0 for the lowest one): 0.298 eV per atom
- Crystal system: tetragonal

abc: 3.8704 3.8704 10.1902
angles: 90.00 90.00 90.00
Closest atoms and distances in Å follow each position.
Space group I4/mmm (No. 139)
Symmetry-distinct sites (fractional):
Rh (0.0000, 0.0000, 0.0000)  4 Br 2.74
Au (0.0000, 0.5000, 0.2500)  4 Au 2.74
Br (0.0000, 0.0000, 0.5000)  4 Rh 2.74

(4)
## RhAu2Br (PBE-GGA)

Data for an optimized crystal structure of RhAu2Br.

- Size of the total moment: 1.194 μB/f.u.
- Fermi-level density of states: 9.386 states/eV per cell
- Polymorph energy (0 for the lowest one): 0.170 eV per atom
- Crystal system: trigonal

abc: 2.8820 2.8820 33.0790
angles: 90.00 90.00 120.00
Closest atoms and distances in Å follow each position.
Space group R-3m (No. 166, hexagonal axes)
Symmetry-distinct sites (fractional):
Rh (0.0000, 0.0000, 0.0000)  6 Au 2.86, 6 Rh 2.88
Au (0.0000, 0.0000, 0.2629)  3 Rh 2.86, 6 Au 2.88
Br (0.0000, 0.0000, 0.5000)  6 Br 2.88

(5)
## Rh3AuBr (PBE-GGA)

Data for an optimized crystal structure of Rh3AuBr.

- Size of the total moment: 0.000 μB/f.u.
- Fermi-level density of states: 7.073 states/eV per cell
- Polymorph energy (0 for the lowest one): 0.000 eV per atom
- Crystal system: cubic

abc: 4.5797 4.5797 4.5797
angles: 90.00 90.00 90.00
Closest atoms and distances in Å follow each position.
Space group Pm-3m (No. 221)
Symmetry-distinct sites (fractional):
Rh (0.0000, 0.0000, 0.5000)  2 Br 2.29
Au (0.5000, 0.5000, 0.5000)  12 Rh 3.24
Br (0.0000, 0.0000, 0.0000)  6 Rh 2.29

(6)
## RhAu3Br (PBE-GGA)

Data for an optimized crystal structure of RhAu3Br.

- Size of the total moment: 0.000 μB/f.u.
- Fermi-level density of states: 1.803 states/eV per cell
- Polymorph energy (0 for the lowest one): 0.444 eV per atom
- Crystal system: cubic

abc: 4.9836 4.9836 4.9836
angles: 90.00 90.00 90.00
Closest atoms and distances in Å follow each position.
Space group Pm-3m (No. 221)
Symmetry-distinct sites (fractional):
Rh (0.0000, 0.0000, 0.0000)  12 Au 3.52
Au (0.0000, 0.5000, 0.5000)  2 Br 2.49
Br (0.5000, 0.5000, 0.5000)  6 Au 2.49

(7)
## Rh2AuBr (PBE-GGA)

Data for an optimized crystal structure of Rh2AuBr.

- Size of the total moment: 0.001 μB/f.u.
- Fermi-level density of states: 6.112 states/eV per cell
- Polymorph energy (0 for the lowest one): 0.189 eV per atom
- Crystal system: tetragonal

abc: 4.7531 4.7531 2.9681
angles: 90.00 90.00 90.00
Closest atoms and distances in Å follow each position.
Space group P4/mmm (No. 123)
Symmetry-distinct sites (fractional):
Rh (0.0000, 0.5000, 0.0000)  4 Br 2.80, 4 Au 2.80, 2 Rh 2.97
Au (0.0000, 0.0000, 0.5000)  8 Rh 2.80, 2 Au 2.97
Br (0.5000, 0.5000, 0.5000)  8 Rh 2.80, 2 Br 2.97

(8)
## RhAu2Br (PBE-GGA)

Data for an optimized crystal structure of RhAu2Br.

- Size of the total moment: 0.000 μB/f.u.
- Fermi-level density of states: 3.385 states/eV per cell
- Polymorph energy (0 for the lowest one): 0.215 eV per atom
- Crystal system: monoclinic

abc: 4.4111 3.1656 5.6285
angles: 90.00 91.13 90.00
Closest atoms and distances in Å follow each position.
Space group P2/m (No. 10)
Symmetry-distinct sites (fractional):
Rh (0.0000, 0.0000, 0.0000)  4 Br 2.71, 2 Au 2.81
Au (0.0000, 0.0000, 0.5000)  4 Au 2.71, 2 Rh 2.81
Au (0.5000, 0.5000, 0.5000)  4 Au 2.71, 2 Br 2.81
Br (0.5000, 0.5000, 0.0000)  4 Rh 2.71, 2 Au 2.81

Copy entry 4 word for word.
## RhAu2Br (PBE-GGA)

Data for an optimized crystal structure of RhAu2Br.

- Size of the total moment: 1.194 μB/f.u.
- Fermi-level density of states: 9.386 states/eV per cell
- Polymorph energy (0 for the lowest one): 0.170 eV per atom
- Crystal system: trigonal

abc: 2.8820 2.8820 33.0790
angles: 90.00 90.00 120.00
Closest atoms and distances in Å follow each position.
Space group R-3m (No. 166, hexagonal axes)
Symmetry-distinct sites (fractional):
Rh (0.0000, 0.0000, 0.0000)  6 Au 2.86, 6 Rh 2.88
Au (0.0000, 0.0000, 0.2629)  3 Rh 2.86, 6 Au 2.88
Br (0.0000, 0.0000, 0.5000)  6 Br 2.88